Entry from Alexandria: a relaxed TbPmIO6 crystal (PBE).

extended XYZ file:
```
18
Lattice="5.671 0.000 0.000 -2.835 4.911 0.000 0.000 0.000 9.784" Properties=species:S:1:pos:R:3 pbc="T T T"
Tb 0.000 3.274 2.446
Tb 2.835 1.637 7.338
Pm 0.000 0.000 0.000
Pm 0.000 0.000 4.892
I 0.000 3.274 7.338
I 2.835 1.637 2.446
O -0.838 1.812 6.225
O -1.685 3.279 8.451
O 0.838 1.812 8.451
O -0.847 4.731 6.225
O 1.989 0.180 1.333
O 1.151 1.632 3.559
O 1.685 3.279 6.225
O 0.847 4.731 8.451
O 3.682 0.180 3.559
O 1.997 3.099 1.333
O 4.520 1.632 1.333
O 3.673 3.099 3.559
```

Values from the calculation:
DFT total energy   -58.8 eV per formula unit
Symmetry   P-31c, No. 163
Formation energy (no corrections)   -18.2 eV per formula unit

***

Entry from Alexandria: a relaxed PmErPuAl crystal (PBE).

extended XYZ file:
```
4
Lattice="0.000 3.776 3.776 3.776 0.000 3.776 3.776 3.776 0.000" Properties=species:S:1:pos:R:3 pbc="T T T"
Pm 0.000 0.000 0.000
Er 1.888 1.888 1.888
Pu 3.776 3.776 3.776
Al 5.664 5.664 5.664
```

Values from the calculation:
DFT total energy   -27.2 eV per formula unit
Symmetry   F-43m, No. 216
ΔE_f   0.038 eV/atom

***

Entry from Alexandria: a relaxed ErSc3Co8 crystal (PBE).

extended XYZ file:
```
12
Lattice="2.459 1.420 8.040 -2.459 1.420 8.040 0.000 -2.839 8.040" Properties=species:S:1:pos:R:3 pbc="T T T"
Er 0.000 0.000 0.000
Sc 0.000 0.000 3.049
Sc 0.000 0.000 12.048
Sc 0.000 0.000 15.025
Co 0.000 -1.410 5.493
Co -1.221 0.705 5.493
Co -1.224 -0.707 9.577
Co 0.000 0.000 7.525
Co 1.221 0.705 5.493
Co 1.224 -0.707 9.577
Co 0.000 1.414 9.577
Co 0.000 0.000 19.599
```

Values from the calculation:
DFT total energy   -84.2 eV per formula unit
Symmetry   R3m, No. 160
ΔE_f   -0.320 eV/atom

***

Entry from Alexandria: a relaxed PmSm3TmTh crystal (PBE).

extended XYZ file:
```
12
Lattice="10.193 -2.850 0.000 10.193 2.850 0.000 -0.192 0.000 6.909" Properties=species:S:1:pos:R:3 pbc="T T T"
Pm 2.873 0.000 3.169
Pm 17.321 0.000 3.740
Sm 0.248 0.000 5.178
Sm 5.570 0.000 5.195
Sm 6.897 0.000 1.703
Sm 13.297 0.000 5.205
Sm 14.625 0.000 1.714
Sm 19.947 0.000 1.730
Tm 3.027 0.000 0.138
Tm 17.167 0.000 6.770
Th 8.864 0.000 5.452
Th 11.331 0.000 1.457
```

Values from the calculation:
DFT total energy   -29.6 eV per formula unit
Symmetry   C2/m, No. 12
ΔE_f   0.207 eV/atom

***

Entry from Alexandria: a relaxed Cd4BiPd7 crystal (PBE).

extended XYZ file:
```
12
Lattice="5.356 -2.513 0.000 5.356 2.513 0.000 -4.890 0.000 8.644" Properties=species:S:1:pos:R:3 pbc="T T T"
Cd -0.350 0.000 2.323
Cd -1.255 0.000 7.231
Cd 7.077 0.000 1.413
Cd 6.172 0.000 6.321
Bi 2.911 0.000 4.322
Pd -2.445 0.000 4.322
Pd 1.410 0.000 0.187
Pd 0.263 0.000 4.982
Pd 3.875 0.000 1.435
Pd 1.947 0.000 7.209
Pd 5.558 0.000 3.662
Pd 4.412 0.000 8.457
```

Values from the calculation:
DFT total energy   -45.8 eV per formula unit
Symmetry   C2/m, No. 12
ΔE_f   -0.158 eV/atom

***

Entry from Alexandria: a relaxed AcPr4Dy10 crystal (PBE).

extended XYZ file:
```
15
Lattice="-6.464 6.464 3.330 6.464 -6.464 3.330 6.464 6.464 -3.330" Properties=species:S:1:pos:R:3 pbc="T T T"
Ac 0.000 0.000 0.000
Pr 7.337 4.177 0.000
Pr 4.177 5.592 0.000
Pr 2.287 0.872 3.330
Pr -0.872 2.287 3.330
Dy 8.158 -2.645 1.661
Dy 3.820 -1.693 1.669
Dy 6.464 0.000 1.665
Dy 9.109 1.693 1.669
Dy 4.771 2.645 1.661
Dy 1.693 3.820 1.669
Dy -2.645 4.771 1.661
Dy 0.000 6.464 1.665
Dy 2.645 8.158 1.661
Dy -1.693 9.109 1.669
```

Values from the calculation:
DFT total energy   -61.5 eV per formula unit
Symmetry   I4/m, No. 87
ΔE_f   0.518 eV/atom

***

Question: The highest DFT total energy belongs to which entry?
Answer: PmErPuAl

***

Question: Which of these has the highest DFT total energy?
Answer: PmErPuAl

***

Question: What is the formula in the fifth record?
Answer: Cd4BiPd7

***

Question: Which of these has the highest DFT total energy?
Answer: PmErPuAl